(1)
# Si2BAs, optimized geometry, DFT PBE
data_Si2BAs
_chemical_formula_sum 'Si2 B1 As1'
_cell_length_a 4.2751
_cell_length_b 4.2751
_cell_length_c 4.2751
_cell_angle_alpha 60.00
_cell_angle_beta 60.00
_cell_angle_gamma 60.00
_symmetry_space_group_name_H-M 'P 1'
_symmetry_Int_Tables_number 1
_symmetry_space_group_name_Hall 'P 1'
loop_
_atom_site_label
_atom_site_fract_x
_atom_site_fract_y
_atom_site_fract_z
As1 0.5000 0.5000 0.5000
B1 0.0000 0.0000 0.0000
Si1 0.2500 0.2500 0.2500
Si2 0.7500 0.7500 0.7500
# Polymorph energy (0 for the lowest one): 1138 meV per atom
# E_form (uncorrected): 1.084 eV/atom

(2)
# K2RbTaSn, optimized geometry, DFT PBE
data_K2RbTaSn
_chemical_formula_sum 'K2 Rb1 Ta1 Sn1'
_cell_length_a 6.6291
_cell_length_b 6.7492
_cell_length_c 6.6291
_cell_angle_alpha 90.00
_cell_angle_beta 90.00
_cell_angle_gamma 90.00
_symmetry_space_group_name_H-M 'P 1'
_symmetry_Int_Tables_number 1
_symmetry_space_group_name_Hall 'P 1'
loop_
_atom_site_label
_atom_site_fract_x
_atom_site_fract_y
_atom_site_fract_z
K1 0.0000 0.0000 0.5000
K2 0.5000 0.0000 0.0000
Sn1 0.5000 0.5000 0.5000
Rb1 0.0000 0.5000 0.0000
Ta1 0.0000 0.0000 0.0000
# E_form: 1526 meV per atom

Table of D(E_F) (states/eV per cell), in record order: 2.20 8.46